Entry 1:
# Na3LiRu

A geometry-optimized Na3LiRu structure (PBE, Alexandria).

Output
Energy relative to the elements ... 0.9340 eV/atom
Polymorph energy (0 for the lowest one) ... 0 meV/atom
Total magnetization ... 1.30 μB/f.u.

Cell: 5.4936 5.4936 5.4936 Å, 90.00 90.00 90.00°
Closest atoms and distances in Å follow each position.
Element x y z (fractional)
Na: 0.0000 0.0000 0.5000  2 Ru 2.75
Na: 0.0000 0.5000 0.0000  2 Ru 2.75
Na: 0.5000 0.0000 0.0000  2 Ru 2.75
Li: 0.5000 0.5000 0.5000  12 Na 3.88
Ru: 0.0000 0.0000 0.0000  6 Na 2.75

Entry 2:
# NaLi2Ru

A geometry-optimized NaLi2Ru structure (PBE, Alexandria).

Output
Energy relative to the elements ... 0.7098 eV/atom
Polymorph energy (0 for the lowest one) ... 129 meV/atom
Total magnetization ... 1.01 μB/f.u.

Cell: 5.7249 5.7249 5.7249 Å, 104.49 104.49 119.98°
Closest atoms and distances in Å follow each position.
Element x y z (fractional)
Na: 0.0000 0.0000 0.0000  4 Li 2.65, 2 Ru 2.86
Na: 0.7500 0.2500 0.5000  4 Li 2.65, 2 Ru 2.86
Li: 0.1393 0.6250 0.0143  2 Ru 2.51, 2 Na 2.65
Li: 0.3750 0.3893 0.5143  2 Ru 2.51, 2 Na 2.65
Li: 0.6107 0.1250 0.9857  2 Ru 2.51, 2 Na 2.65
Li: 0.8750 0.8607 0.4857  2 Ru 2.51, 2 Na 2.65
Ru: 0.2500 0.7500 0.5000  4 Li 2.51
Ru: 0.5000 0.5000 0.0000  4 Li 2.51

Entry 3:
# NaLi2Ru

A geometry-optimized NaLi2Ru structure (PBE, Alexandria).

Output
Energy relative to the elements ... 0.5810 eV/atom
Polymorph energy (0 for the lowest one) ... 0 meV/atom
Total magnetization ... 1.14 μB/f.u.

Cell: 4.5623 4.5623 4.5623 Å, 60.00 60.00 60.00°
Closest atoms and distances in Å follow each position.
Element x y z (fractional)
Na: 0.0000 0.0000 0.0000  8 Li 2.79
Li: 0.2500 0.2500 0.2500  4 Ru 2.79, 4 Na 2.79
Li: 0.7500 0.7500 0.7500  4 Ru 2.79, 4 Na 2.79
Ru: 0.5000 0.5000 0.5000  8 Li 2.79

Entry 4:
# NaLiTa2Ru

A geometry-optimized NaLiTa2Ru structure (PBE, Alexandria).

Output
Energy relative to the elements ... 1.3865 eV/atom
Total magnetization ... 0.00 μB/f.u.

Cell: 4.6617 4.6617 3.7129 Å, 90.00 90.00 90.00°
Closest atoms and distances in Å follow each position.
Element x y z (fractional)
Na: 0.0000 0.0000 0.0000  2 Li 1.86
Li: 0.0000 0.0000 0.5000  2 Na 1.86
Ta: 0.0000 0.5000 0.5000  2 Li 2.33
Ta: 0.5000 0.0000 0.5000  2 Li 2.33
Ru: 0.5000 0.5000 0.0000  8 Ta 2.98, 4 Na 3.30

Entry 5:
# NaLiTlRu2

A geometry-optimized NaLiTlRu2 structure (PBE, Alexandria).

Output
Energy relative to the elements ... 0.9798 eV/atom
Total magnetization ... 2.26 μB/f.u.

Cell: 4.4026 4.4026 4.3959 Å, 90.00 90.00 90.00°
Closest atoms and distances in Å follow each position.
Element x y z (fractional)
Na: 0.0000 0.0000 0.0000  2 Li 2.20
Li: 0.0000 0.0000 0.5000  2 Na 2.20, 4 Ru 2.20
Tl: 0.5000 0.5000 0.0000  8 Ru 3.11, 4 Na 3.11
Ru: 0.0000 0.5000 0.5000  2 Li 2.20
Ru: 0.5000 0.0000 0.5000  2 Li 2.20

Entry 6:
# Na2LiTlRu

A geometry-optimized Na2LiTlRu structure (PBE, Alexandria).

Output
Energy relative to the elements ... 0.8354 eV/atom
Total magnetization ... 1.04 μB/f.u.

Cell: 5.4659 5.4659 4.7932 Å, 90.00 90.00 90.00°
Closest atoms and distances in Å follow each position.
Element x y z (fractional)
Na: 0.0000 0.5000 0.0000  2 Ru 2.73
Na: 0.5000 0.0000 0.0000  2 Ru 2.73
Li: 0.0000 0.0000 0.5000  2 Ru 2.40
Tl: 0.5000 0.5000 0.5000  8 Na 3.63, 4 Li 3.86
Ru: 0.0000 0.0000 0.0000  2 Li 2.40

Entry 7:
# Na2LiRuW

A geometry-optimized Na2LiRuW structure (PBE, Alexandria).

Output
Energy relative to the elements ... 1.1832 eV/atom
Total magnetization ... 1.52 μB/f.u.

Cell: 5.5372 5.5372 4.6219 Å, 90.00 90.00 90.00°
Closest atoms and distances in Å follow each position.
Element x y z (fractional)
Na: 0.0000 0.5000 0.0000  2 Ru 2.77
Na: 0.5000 0.0000 0.0000  2 Ru 2.77
Li: 0.0000 0.0000 0.5000  8 Na 3.61, 4 W 3.92
Ru: 0.5000 0.5000 0.0000  2 W 2.31
W: 0.5000 0.5000 0.5000  2 Ru 2.31

Entry 8:
# Na3LiS8

A geometry-optimized Na3LiS8 structure (PBE, Alexandria).

Output
E_form (uncorrected) ... -0.470 eV/atom
Total magnetization ... 0.00 μB/f.u.

Cell: 7.6684 7.6684 5.7986 Å, 107.49 107.49 97.84°
Closest atoms and distances in Å follow each position.
Element x y z (fractional)
Na: 0.0000 0.0000 0.0000  5 S 2.79-3.00
Na: 0.1268 0.6598 0.5003  6 S 2.82-3.16
Na: 0.6598 0.1268 0.5003  6 S 2.82-3.16
Li: 0.5474 0.5474 0.0953  2 S 2.36-2.48
S: 0.1648 0.4729 0.8825  2 S 2.02-2.25
S: 0.2562 0.2562 0.6171  3 S 2.03-2.25
S: 0.3708 0.9598 0.9928  1 S 2.02
S: 0.4586 0.4586 0.6204  1 S 2.03
S: 0.4729 0.1648 0.8825  2 S 2.02-2.25
S: 0.7622 0.7622 0.5011  1 S 2.13, 1 Li 2.36
S: 0.9598 0.3708 0.9928  1 S 2.02
S: 0.9602 0.9602 0.4543  1 S 2.13

What theoretical density values result from the calculations? In sequence: 1.77 3.26 3.41 10.14 8.51 4.16 3.96 1.84 g cm⁻³.
What raw total energy values result from the calculations? In sequence: -10.5 -11.6 -12.1 -29.3 -19.3 -12.0 -20.9 -44.5 eV/f.u..